This record from Alexandria via LeMat-Bulk describes an optimized crystal structure of Rb2NaCl. The functional is PBE.

Lattice parameters (Å, degrees): 4.1571 4.1571 10.5077 90.00 90.00 90.00
Atoms (fractional coordinates):
Rb (0.0000, 0.0000, 0.1859)
Rb (0.0000, 0.0000, 0.8141)
Na (0.5000, 0.5000, 0.5000)
Cl (0.5000, 0.5000, 0.0000)

crystal system	tetragonal
energy relative to the elements, uncorrected	-873	meV per atom
excess energy over the best structure of this formula in the dataset	0.070	eV per formula unit
density	2098	kg/m3